This record from Alexandria via LeMat-Bulk describes LiInGeO4 after structural relaxation. The functional is PBE.

```
data_LiInGeO4
_cell_length_a 6.029
_cell_length_b 6.029
_cell_length_c 6.029
_cell_angle_alpha 120.95
_cell_angle_beta 115.86
_cell_angle_gamma 92.84
_symmetry_space_group_name_H-M 'P 1'
_symmetry_Int_Tables_number 1
loop_
_symmetry_equiv_pos_as_xyz
'x,y,z'
loop_
_atom_site_label
_atom_site_fract_x
_atom_site_fract_y
_atom_site_fract_z
_atom_site_occupancy
Li1 0.500 0.000 0.000 1
Li2 0.500 0.500 0.500 1
In1 0.000 0.000 0.000 1
In2 0.500 0.000 0.500 1
Ge1 0.121 0.371 0.750 1
Ge2 0.879 0.629 0.250 1
O1 0.228 0.741 0.487 1
O2 0.247 0.259 0.987 1
O3 0.253 0.257 0.504 1
O4 0.253 0.749 0.996 1
O5 0.747 0.251 0.004 1
O6 0.747 0.743 0.496 1
O7 0.753 0.741 0.013 1
O8 0.772 0.259 0.513 1
```

Output
Crystal system: orthorhombic
Uncorrected energy (eV per atom): -5.8662
Energy above the lowest structure with this stoichiometry (meV/atom): 67
SG: Imma, No. 74
Size of the total moment (μB/cell): 0.00
Raw formation energy (meV per atom): -1709
Volume (Å³/atom): 11.29



This record from Alexandria via LeMat-Bulk describes LiInGe2Pd after structural relaxation. The functional is PBE.

```
data_LiInGe2Pd
_cell_length_a 4.456
_cell_length_b 4.456
_cell_length_c 4.941
_cell_angle_alpha 90.00
_cell_angle_beta 90.00
_cell_angle_gamma 90.00
_symmetry_space_group_name_H-M 'P 1'
_symmetry_Int_Tables_number 1
loop_
_symmetry_equiv_pos_as_xyz
'x,y,z'
loop_
_atom_site_label
_atom_site_fract_x
_atom_site_fract_y
_atom_site_fract_z
_atom_site_occupancy
Li1 0.000 0.000 0.000 1
In1 0.000 0.000 0.500 1
Ge1 0.000 0.500 0.000 1
Ge2 0.500 0.000 0.000 1
Pd1 0.500 0.500 0.500 1
```

Output
Crystal system: tetragonal
Uncorrected energy (eV per atom): -3.4091
Energy above the lowest structure with this stoichiometry (meV/atom): 0
SG: P4/mmm, No. 123
Size of the total moment (μB/cell): 0.00
E_form (eV per atom): 0.4069
Volume (Å³/atom): 19.63



This record from Alexandria via LeMat-Bulk describes LiInGePd after structural relaxation. The functional is PBE.

```
data_LiInGePd
_cell_length_a 4.586
_cell_length_b 4.586
_cell_length_c 4.586
_cell_angle_alpha 60.00
_cell_angle_beta 60.00
_cell_angle_gamma 60.00
_symmetry_space_group_name_H-M 'P 1'
_symmetry_Int_Tables_number 1
loop_
_symmetry_equiv_pos_as_xyz
'x,y,z'
loop_
_atom_site_label
_atom_site_fract_x
_atom_site_fract_y
_atom_site_fract_z
_atom_site_occupancy
Li1 0.000 0.000 0.000 1
In1 0.750 0.750 0.750 1
Ge1 0.250 0.250 0.250 1
Pd1 0.500 0.500 0.500 1
```

Output
Crystal system: cubic
Uncorrected energy (eV per atom): -3.9599
SG: F-43m, No. 216
Size of the total moment (μB/cell): 0.00
E_form (eV per atom): -0.3443
Volume (Å³/atom): 17.05



This record from Alexandria via LeMat-Bulk describes LiInGe2Pd after structural relaxation. The functional is PBE.

```
data_LiInGe2Pd
_cell_length_a 5.141
_cell_length_b 5.141
_cell_length_c 4.805
_cell_angle_alpha 90.00
_cell_angle_beta 90.00
_cell_angle_gamma 90.00
_symmetry_space_group_name_H-M 'P 1'
_symmetry_Int_Tables_number 1
loop_
_symmetry_equiv_pos_as_xyz
'x,y,z'
loop_
_atom_site_label
_atom_site_fract_x
_atom_site_fract_y
_atom_site_fract_z
_atom_site_occupancy
Li1 0.000 0.000 0.000 1
In1 0.000 0.000 0.500 1
Ge1 0.000 0.500 0.500 1
Ge2 0.500 0.000 0.500 1
Pd1 0.500 0.500 0.000 1
```

Output
Crystal system: tetragonal
Uncorrected energy (eV per atom): -3.0515
Energy above the lowest structure with this stoichiometry (meV/atom): 358
SG: P4/mmm, No. 123
Size of the total moment (μB/cell): 0.00
E_form (eV per atom): 0.7644
Volume (Å³/atom): 25.40